# 1
A plane-wave DFT calculation with PBE-GGA was carried out for a geometry-optimized BaSrMg2Cu structure.

Cell and atoms, written as POSCAR:
```
BaSrMg2Cu
1.0
5.3983 0.0000 0.0000
0.0000 5.3983 0.0000
0.0000 0.0000 5.7536
Ba Sr Mg Cu
1 1 2 1
Direct
0.0000 0.0000 0.0000
0.5000 0.5000 0.0000
0.0000 0.5000 0.5000
0.5000 0.0000 0.5000
0.0000 0.0000 0.5000
```

Properties
The energy of formation from the pure elements is 68 meV per atom. Its symmetry is P4/mmm (123). The energy relative to the lowest polymorph listed for this composition comes out at 0.18 eV/f.u.

=====

# 2
A plane-wave DFT calculation with PBE-GGA was carried out for a geometry-optimized BaSr2MgCu structure.

Cell and atoms, written as POSCAR:
```
BaSr2MgCu
1.0
5.9944 0.0000 0.0000
0.0000 5.9944 0.0000
0.0000 0.0000 6.1351
Ba Sr Mg Cu
1 2 1 1
Direct
0.0000 0.0000 0.0000
0.0000 0.5000 0.5000
0.5000 0.0000 0.5000
0.5000 0.5000 0.0000
0.0000 0.0000 0.5000
```

Properties
The energy of formation from the pure elements is 70 meV per atom. Its symmetry is P4/mmm (123). The energy relative to the lowest polymorph listed for this composition comes out at 0.19 eV/f.u.

=====

# 3
A plane-wave DFT calculation with PBE-GGA was carried out for a geometry-optimized BaSr2MgCu structure.

Cell and atoms, written as POSCAR:
```
BaSr2MgCu
1.0
6.0836 0.0000 0.0000
0.0000 6.0836 0.0000
0.0000 0.0000 5.3387
Ba Sr Mg Cu
1 2 1 1
Direct
0.0000 0.0000 0.0000
0.0000 0.5000 0.5000
0.5000 0.0000 0.5000
0.5000 0.5000 0.0000
0.5000 0.5000 0.5000
```

Properties
The energy of formation from the pure elements is 32 meV per atom. Its symmetry is P4/mmm (123). The energy relative to the lowest polymorph listed for this composition comes out at 0.00 eV/f.u.

=====

# 4
A plane-wave DFT calculation with PBE-GGA was carried out for a geometry-optimized BaSrMg2Cu structure.

Cell and atoms, written as POSCAR:
```
BaSrMg2Cu
1.0
5.3508 0.0000 0.0000
0.0000 5.3508 0.0000
0.0000 0.0000 5.7079
Ba Sr Mg Cu
1 1 2 1
Direct
0.0000 0.0000 0.0000
0.5000 0.5000 0.0000
0.0000 0.5000 0.5000
0.5000 0.0000 0.5000
0.5000 0.5000 0.5000
```

Properties
The energy of formation from the pure elements is 33 meV per atom. Its symmetry is P4/mmm (123). The energy relative to the lowest polymorph listed for this composition comes out at 0.00 eV/f.u.

=====

# 5
A plane-wave DFT calculation with PBE-GGA was carried out for a geometry-optimized BaMgTl2Cu structure.

Cell and atoms, written as POSCAR:
```
BaMgTl2Cu
1.0
5.3518 0.0000 0.0000
0.0000 5.3518 0.0000
0.0000 0.0000 5.1423
Ba Mg Tl Cu
1 1 2 1
Direct
0.0000 0.0000 0.0000
0.5000 0.5000 0.0000
0.0000 0.5000 0.5000
0.5000 0.0000 0.5000
0.5000 0.5000 0.5000
```

Properties
The energy of formation from the pure elements is -68 meV per atom. Its symmetry is P4/mmm (123).

=====

# 6
A plane-wave DFT calculation with PBE-GGA was carried out for a geometry-optimized Ba2MgTlCu structure.

Cell and atoms, written as POSCAR:
```
Ba2MgTlCu
1.0
6.2019 0.0000 0.0000
0.0000 6.2019 0.0000
0.0000 0.0000 4.9883
Ba Mg Tl Cu
2 1 1 1
Direct
0.0000 0.5000 0.0000
0.5000 0.0000 0.0000
0.0000 0.0000 0.5000
0.5000 0.5000 0.5000
0.0000 0.0000 0.0000
```

Properties
The energy of formation from the pure elements is -56 meV per atom. Its symmetry is P4/mmm (123).

=====

# 7
A plane-wave DFT calculation with PBE-GGA was carried out for a geometry-optimized BaYMg2Cu structure.

Cell and atoms, written as POSCAR:
```
BaYMg2Cu
1.0
5.2430 0.0000 0.0000
0.0000 5.2430 0.0000
0.0000 0.0000 5.3990
Ba Y Mg Cu
1 1 2 1
Direct
0.0000 0.0000 0.0000
0.5000 0.5000 0.0000
0.0000 0.5000 0.5000
0.5000 0.0000 0.5000
0.5000 0.5000 0.5000
```

Properties
The energy of formation from the pure elements is 51 meV per atom. Its symmetry is P4/mmm (123).

=====

# 8
A plane-wave DFT calculation with PBE-GGA was carried out for a geometry-optimized Ba2Mg6ZnCu structure.

Cell and atoms, written as POSCAR:
```
Ba2Mg6ZnCu
1.0
-3.6728 3.6790 5.2039
3.6728 -3.6790 5.2039
3.6728 3.6790 -5.2039
Ba Mg Zn Cu
2 6 1 1
Direct
0.2499 0.2499 0.0000
0.7501 0.7501 0.0000
0.2560 0.2443 0.5004
0.2560 0.7557 0.0117
0.2559 0.7559 0.5000
0.7441 0.2441 0.5000
0.7440 0.2443 0.9883
0.7440 0.7557 0.4996
0.0000 0.5000 0.5000
0.5000 0.0000 0.5000
```

Properties
The energy of formation from the pure elements is -27 meV per atom. Its symmetry is Immm (71).

=====

# 9
A plane-wave DFT calculation with PBE-GGA was carried out for a geometry-optimized Ba2MgZn12Cu3 structure.

Cell and atoms, written as POSCAR:
```
Ba2MgZn12Cu3
1.0
4.3330 2.5016 6.6231
-4.3330 2.5016 6.6231
0.0000 -5.0033 6.6231
Ba Mg Zn Cu
2 1 12 3
Direct
0.1116 0.1116 0.1116
0.8884 0.8884 0.8884
0.5000 0.5000 0.5000
0.1287 0.6154 0.6154
0.1798 0.1798 0.6416
0.1798 0.6416 0.1798
0.3584 0.8202 0.8202
0.3846 0.3846 0.8713
0.3846 0.8713 0.3846
0.6154 0.1287 0.6154
0.6154 0.6154 0.1287
0.6416 0.1798 0.1798
0.8202 0.3584 0.8202
0.8202 0.8202 0.3584
0.8713 0.3846 0.3846
0.0000 0.5000 0.5000
0.5000 0.0000 0.5000
0.5000 0.5000 0.0000
```

Properties
The energy of formation from the pure elements is 208 meV per atom. Its symmetry is R-3m (166).

=====

# 10
A plane-wave DFT calculation with PBE-GGA was carried out for a geometry-optimized Ba2MgZnCu structure.

Cell and atoms, written as POSCAR:
```
Ba2MgZnCu
1.0
6.2050 0.0000 0.0000
0.0000 6.2050 0.0000
0.0000 0.0000 4.7330
Ba Mg Zn Cu
2 1 1 1
Direct
0.0000 0.5000 0.0000
0.5000 0.0000 0.0000
0.0000 0.0000 0.5000
0.5000 0.5000 0.5000
0.5000 0.5000 0.0000
```

Properties
The energy of formation from the pure elements is 22 meV per atom. Its symmetry is P4/mmm (123).

=====

# 11
A plane-wave DFT calculation with PBE-GGA was carried out for a geometry-optimized BaMgZn2Cu structure.

Cell and atoms, written as POSCAR:
```
BaMgZn2Cu
1.0
4.9009 0.0000 0.0000
0.0000 4.9009 0.0000
0.0000 0.0000 4.9779
Ba Mg Zn Cu
1 1 2 1
Direct
0.0000 0.0000 0.0000
0.5000 0.5000 0.0000
0.0000 0.5000 0.5000
0.5000 0.0000 0.5000
0.5000 0.5000 0.5000
```

Properties
The energy of formation from the pure elements is -56 meV per atom. Its symmetry is P4/mmm (123).

=====

# 12
A plane-wave DFT calculation with PBE-GGA was carried out for a geometry-optimized Ba2MnCu structure.

Cell and atoms, written as POSCAR:
```
Ba2MnCu
1.0
7.7536 0.0000 0.0000
0.0000 7.7536 0.0000
0.0000 0.0000 7.7536
Ba Mn Cu
8 4 4
Direct
0.0000 0.0000 0.0000
0.0000 0.5000 0.5000
0.2500 0.2500 0.2500
0.2500 0.7500 0.7500
0.5000 0.0000 0.5000
0.5000 0.5000 0.0000
0.7500 0.2500 0.7500
0.7500 0.7500 0.2500
0.2500 0.2500 0.7500
0.2500 0.7500 0.2500
0.7500 0.2500 0.2500
0.7500 0.7500 0.7500
0.0000 0.0000 0.5000
0.0000 0.5000 0.0000
0.5000 0.0000 0.0000
0.5000 0.5000 0.5000
```

Properties
The energy of formation from the pure elements is 559 meV per atom. Its symmetry is F-43m (216). The energy relative to the lowest polymorph listed for this composition comes out at 1.10 eV/f.u.